Here is an optimized crystal structure of GaReW from Alexandria. Energies are from PBE.

Cell and atoms, written as POSCAR:
```
GaReW
1.0
-0.9829 2.2734 1.9641
-2.1251 0.9347 -2.1454
-1.5175 -4.4786 1.8807
Re Ga W
1 1 1
direct
0.6703 0.6703 0.3405
0.0024 0.0024 0.0048
0.3273 0.3273 0.6546
```

Properties
The calculation puts the energy relative to the elements at 0.0605 eV/atom. As for the space group: I4mm. The value obtained for the density of states at the Fermi level is 1.29 states/eV per cell. The calculation puts the volume at 45.7 Å³ per cell.

=====

Here is an optimized crystal structure of Tb3MgCd3 from Alexandria. Energies are from PBE.

Cell and atoms, written as POSCAR:
```
Tb3MgCd3
1.0
-3.4096 -6.1232 2.5183
6.0531 -1.4214 4.0988
-2.7014 3.6625 5.2784
Tb Mg Cd
6 2 6
direct
0.0037 0.0037 0.7506
0.4941 0.0056 0.2507
0.0056 0.4941 0.2507
0.5059 0.9944 0.7493
0.9944 0.5059 0.7493
0.9963 0.9963 0.2494
0.3298 0.3298 0.9881
0.6702 0.6702 0.0119
0.2914 0.2914 0.5092
0.2848 0.7152 0.5000
0.7152 0.2848 0.5000
0.2626 0.7374 0.0000
0.7374 0.2626 0.0000
0.7086 0.7086 0.4908
```

Properties
The calculation puts the energy relative to the elements at -0.1335 eV/atom. As for the space group: C2/m. The value obtained for the density of states at the Fermi level is 11.10 states/eV per cell. The calculation puts the volume at 386.4 Å³ per cell.

=====

Here is an optimized crystal structure of In2TcRh from Alexandria. Energies are from PBE.

Cell and atoms, written as POSCAR:
```
In2TcRh
1.0
-1.4042 -2.5334 -0.8171
3.2031 -2.1103 1.0385
-2.1678 -0.5769 5.5141
In Rh Tc
2 1 1
direct
0.0000 0.0000 0.9695
0.5000 0.5000 0.2798
0.0000 0.0000 0.5008
0.5000 0.5000 0.7499
```

Properties
The calculation puts the energy relative to the elements at 0.1742 eV/atom. As for the space group: Pmm2. The value obtained for the density of states at the Fermi level is 3.68 states/eV per cell. The calculation puts the volume at 71.2 Å³ per cell.

=====

Here is an optimized crystal structure of CoOs from Alexandria. Energies are from PBE.

Cell and atoms, written as POSCAR:
```
CoOs
1.0
0.0517 -3.1014 3.7371
0.9663 -4.4744 1.6229
5.7791 0.4482 2.2087
Co Os
3 3
direct
0.9996 0.9996 0.0057
0.6101 0.6101 0.2748
0.6671 0.6671 0.6649
0.3308 0.3308 0.3338
0.9482 0.9482 0.6123
0.2775 0.2775 0.9419
```

Properties
The calculation puts the energy relative to the elements at 0.1122 eV/atom. As for the space group: Cm. The value obtained for the density of states at the Fermi level is 7.19 states/eV per cell. The calculation puts the volume at 75.2 Å³ per cell.

=====

Here is an optimized crystal structure of CeAl8ZnAg2 from Alexandria. Energies are from PBE.

Cell and atoms, written as POSCAR:
```
CeAl8ZnAg2
1.0
-2.7457 -3.6134 -2.1407
2.2305 -4.4550 -0.5965
-3.3057 -2.1904 9.4590
Ce Al Zn Ag
1 8 1 2
direct
0.0000 0.0000 0.5000
0.8232 0.3189 0.8019
0.6696 0.6696 0.0357
0.6763 0.6763 0.6016
0.3237 0.3237 0.3984
0.3304 0.3304 0.9643
0.3189 0.8232 0.8019
0.6811 0.1768 0.1981
0.1768 0.6811 0.1981
0.0000 0.0000 0.0000
0.6741 0.6741 0.3264
0.3259 0.3259 0.6736
```

Properties
The calculation puts the energy relative to the elements at 0.0197 eV/atom. As for the space group: C2/m. The value obtained for the density of states at the Fermi level is 9.43 states/eV per cell. The calculation puts the volume at 230.4 Å³ per cell.

=====

Here is an optimized crystal structure of Sm5Mg from Alexandria. Energies are from PBE.

Cell and atoms, written as POSCAR:
```
Sm5Mg
1.0
5.0238 0.0000 0.0000
0.0000 5.0102 0.0000
0.0000 -2.5051 7.6602
Mg Sm
1 5
direct
0.0000 0.0000 0.0000
0.5000 0.8318 0.6636
0.0000 0.6650 0.3299
0.5000 0.5000 0.0000
0.0000 0.3350 0.6701
0.5000 0.1682 0.3364
```

Properties
The calculation puts the energy relative to the elements at 0.0089 eV/atom. As for the space group: Cmmm. The value obtained for the density of states at the Fermi level is 7.51 states/eV per cell. The calculation puts the volume at 192.8 Å³ per cell.

=====

Here is an optimized crystal structure of La6PrDyHo2 from Alexandria. Energies are from PBE.

Cell and atoms, written as POSCAR:
```
La6PrDyHo2
1.0
-6.2865 6.3911 -0.4946
-4.4988 -4.1237 3.8964
5.1452 3.3645 2.7739
La Pr Dy Ho
6 1 1 2
direct
0.4365 0.6371 0.2742
0.2007 0.0429 0.6431
0.7993 0.3999 0.3569
0.2007 0.6001 0.6431
0.7993 0.9571 0.3569
0.5635 0.3629 0.7258
0.0000 0.5000 0.0000
0.5000 0.0000 0.0000
0.1652 0.0905 0.1811
0.8348 0.9095 0.8189
```

Properties
The calculation puts the energy relative to the elements at 0.1873 eV/atom. As for the space group: C2/m. The value obtained for the density of states at the Fermi level is 19.34 states/eV per cell. The calculation puts the volume at 359.2 Å³ per cell.

=====

Here is an optimized crystal structure of Pm8Al2Pb from Alexandria. Energies are from PBE.

Cell and atoms, written as POSCAR:
```
Pm8Al2Pb
1.0
-1.1162 -1.7019 -4.5701
-0.7059 -7.5261 2.9751
-7.0560 5.0224 2.5914
Pm Al Pb
8 2 1
direct
0.3957 0.5427 0.7915
0.6774 0.9381 0.3548
0.8387 0.7632 0.6773
0.9506 0.2669 0.9012
0.1613 0.2368 0.3227
0.3226 0.0619 0.6452
0.6043 0.4573 0.2085
0.0494 0.7331 0.0988
0.7832 0.3381 0.5664
0.2168 0.6619 0.4336
0.5000 0.0000 0.0000
```

Properties
The calculation puts the energy relative to the elements at -0.2232 eV/atom. As for the space group: C2/m. The value obtained for the density of states at the Fermi level is 12.31 states/eV per cell. The calculation puts the volume at 330.0 Å³ per cell.

=====

Here is an optimized crystal structure of U4Ga12Pd from Alexandria. Energies are from PBE.

Cell and atoms, written as POSCAR:
```
U4Ga12Pd
1.0
-6.5256 -1.5475 -3.2800
5.5073 -3.4707 -3.6552
-0.1552 -2.3532 7.0834
U Ga Pd
4 12 1
direct
0.0000 0.5000 0.0000
0.5000 0.0000 0.0000
0.5000 0.5000 0.5000
0.0000 0.0000 0.5000
0.2500 0.5000 0.7500
0.0000 0.7052 0.7052
0.2948 0.2948 0.0000
0.5000 0.7500 0.2500
0.7500 0.2500 0.5000
0.7500 0.5000 0.2500
0.2500 0.7500 0.5000
0.7052 0.0000 0.7052
0.5000 0.2500 0.7500
0.0000 0.2948 0.2948
0.2948 0.0000 0.2948
0.7052 0.7052 0.0000
0.0000 0.0000 0.0000
```

Properties
The calculation puts the energy relative to the elements at -0.2939 eV/atom. As for the space group: Im-3m. The value obtained for the density of states at the Fermi level is 26.70 states/eV per cell. The calculation puts the volume at 320.3 Å³ per cell.

=====

Here is an optimized crystal structure of BaZnSbF from Alexandria. Energies are from PBE.

Cell and atoms, written as POSCAR:
```
BaZnSbF
1.0
4.4899 0.0000 0.0000
0.0000 4.4899 0.0000
0.0000 0.0000 9.9294
Ba Zn Sb F
2 2 2 2
direct
0.5000 0.0000 0.6505
0.0000 0.5000 0.3495
0.5000 0.5000 0.0000
0.0000 0.0000 0.0000
0.0000 0.5000 0.8347
0.5000 0.0000 0.1653
0.0000 0.0000 0.5000
0.5000 0.5000 0.5000
```

Properties
For the uncorrected formation energy, the calculation gives -1.7918 eV per atom. As for the space group: P4/nmm. The value obtained for the density of states at the Fermi level is 0.88 states/eV per cell. The calculation puts the volume at 200.2 Å³ per cell.

=====

Here is an optimized crystal structure of Ce6Tc2Bi from Alexandria. Energies are from PBE.

Cell and atoms, written as POSCAR:
```
Ce6Tc2Bi
1.0
4.8869 0.0000 0.0000
-2.4434 5.2809 -0.2710
0.0000 -0.1708 8.9643
Ce Tc Bi
6 2 1
direct
0.0582 0.1164 0.8677
0.6007 0.2014 0.1652
0.3993 0.7986 0.8348
0.7056 0.4113 0.6238
0.2944 0.5887 0.3762
0.9418 0.8836 0.1323
0.7342 0.4683 0.8841
0.2658 0.5317 0.1159
0.0000 0.0000 0.5000
```

Properties
The calculation puts the energy relative to the elements at -0.2614 eV/atom. As for the space group: C2/m. The value obtained for the density of states at the Fermi level is 19.96 states/eV per cell. The calculation puts the volume at 231.1 Å³ per cell.

=====

Here is an optimized crystal structure of BeAs2SeCl from Alexandria. Energies are from PBE.

Cell and atoms, written as POSCAR:
```
BeAs2SeCl
1.0
4.6775 0.0000 0.0000
0.0000 4.6775 0.0000
0.0000 0.0000 4.4331
Be As Se Cl
1 2 1 1
direct
0.0000 0.0000 0.0000
0.0000 0.5000 0.0000
0.5000 0.0000 0.0000
0.0000 0.0000 0.5000
0.5000 0.5000 0.5000
```

Properties
For the uncorrected formation energy, the calculation gives 0.4330 eV per atom. As for the space group: P4/mmm. The value obtained for the density of states at the Fermi level is 3.41 states/eV per cell. The calculation puts the volume at 97.0 Å³ per cell.

=====

Here is an optimized crystal structure of Nd5SmHg3 from Alexandria. Energies are from PBE.

Cell and atoms, written as POSCAR:
```
Nd5SmHg3
1.0
-1.6750 -6.0932 -3.2205
6.1524 1.9138 -6.8208
2.7507 -4.7710 7.5962
Nd Sm Hg
10 2 6
direct
0.0000 0.6667 0.3333
0.5000 0.3333 0.6667
0.0000 0.3333 0.6667
0.5000 0.6667 0.3333
0.7500 0.6650 0.6650
0.7500 0.0000 0.3350
0.7500 0.3350 0.0000
0.2500 0.3350 0.3350
0.2500 0.0000 0.6650
0.2500 0.6650 0.0000
0.0000 0.0000 0.0000
0.5000 0.0000 0.0000
0.7500 0.3299 0.3299
0.7500 0.0000 0.6701
0.7500 0.6701 0.0000
0.2500 0.6701 0.6701
0.2500 0.0000 0.3299
0.2500 0.3299 0.0000
```

Properties
The calculation puts the energy relative to the elements at -0.2785 eV/atom. As for the space group: P6_3/mcm. The value obtained for the density of states at the Fermi level is 20.15 states/eV per cell. The calculation puts the volume at 540.7 Å³ per cell.

=====

Here is an optimized crystal structure of CsTmAgF6 from Alexandria. Energies are from PBE.

Cell and atoms, written as POSCAR:
```
CsTmAgF6
1.0
8.2667 0.0000 0.0000
0.0000 7.7901 0.0000
-4.1334 -3.8950 5.8410
Cs Tm Ag F
2 2 2 12
direct
0.8504 0.6004 0.7008
0.1496 0.3996 0.2992
0.5000 0.0000 0.5000
0.0000 0.0000 0.5000
0.5000 0.5000 0.0000
0.5000 0.0000 0.0000
0.4408 0.6908 0.8816
0.8022 0.0522 0.6044
0.8399 0.0835 0.2608
0.4209 0.6772 0.2608
0.4209 0.0835 0.2608
0.8399 0.6772 0.2608
0.5592 0.3092 0.1184
0.1978 0.9478 0.3956
0.1601 0.9165 0.7392
0.5791 0.3228 0.7392
0.5791 0.9165 0.7392
0.1601 0.3228 0.7392
```

Properties
For the uncorrected formation energy, the calculation gives -2.8453 eV per atom. As for the space group: Imma. The value obtained for the density of states at the Fermi level is 9.51 states/eV per cell. The calculation puts the volume at 376.2 Å³ per cell.

=====

Here is an optimized crystal structure of Na15Tl4Pb from Alexandria. Energies are from PBE.

Cell and atoms, written as POSCAR:
```
Na15Tl4Pb
1.0
-3.0131 1.3960 -3.5862
2.8338 -2.2767 -3.2672
-13.6953 -21.5318 3.1255
Na Tl Pb
15 4 1
direct
0.5000 0.5000 0.0000
0.5000 0.5000 0.1979
0.5000 0.5000 0.3996
0.5000 0.5000 0.6004
0.5000 0.5000 0.8021
0.5000 0.0000 0.0965
0.5000 0.0000 0.2988
0.5000 0.0000 0.5000
0.5000 0.0000 0.7012
0.5000 0.0000 0.9035
0.0000 0.5000 0.0965
0.0000 0.5000 0.2988
0.0000 0.5000 0.5000
0.0000 0.5000 0.7012
0.0000 0.5000 0.9035
0.0000 0.0000 0.1967
0.0000 0.0000 0.3994
0.0000 0.0000 0.6006
0.0000 0.0000 0.8033
0.0000 0.0000 0.0000
```

Properties
The calculation puts the energy relative to the elements at -0.0774 eV/atom. As for the space group: P4/mmm. The value obtained for the density of states at the Fermi level is 8.70 states/eV per cell. The calculation puts the volume at 614.2 Å³ per cell.

=====

Here is an optimized crystal structure of Rb8Sb2I from Alexandria. Energies are from PBE.

Cell and atoms, written as POSCAR:
```
Rb8Sb2I
1.0
-1.7747 6.0697 0.0303
-7.4229 -2.1453 -5.0149
-0.3853 -3.4596 10.5102
Rb Sb I
8 2 1
direct
0.6532 0.8805 0.3063
0.3468 0.5742 0.6937
0.1851 0.1851 0.3701
0.0000 0.2978 0.0000
0.8149 0.8149 0.6299
0.6532 0.4258 0.3063
0.3468 0.1195 0.6937
0.0000 0.7022 0.0000
0.1858 0.6858 0.3716
0.8142 0.3142 0.6284
0.5000 0.0000 0.0000
```

Properties
For the uncorrected formation energy, the calculation gives -0.4574 eV per atom. As for the space group: Immm. The value obtained for the density of states at the Fermi level is 3.13 states/eV per cell. The calculation puts the volume at 556.8 Å³ per cell.

=====

Here is an optimized crystal structure of KGeBr3 from Alexandria. Energies are from PBE.

Cell and atoms, written as POSCAR:
```
KGeBr3
1.0
-7.5027 4.7198 -0.2759
1.7288 -8.1693 2.9862
1.9863 3.6784 8.9130
Ge K Br
2 2 6
direct
0.3881 0.6119 0.2500
0.6119 0.3881 0.7500
0.1131 0.8869 0.2500
0.8869 0.1131 0.7500
0.5412 0.9576 0.2500
0.0424 0.4588 0.2500
0.9576 0.5412 0.7500
0.4588 0.0424 0.7500
0.0000 0.0000 0.0000
0.0000 0.0000 0.5000
```

Properties
For the uncorrected formation energy, the calculation gives -0.7958 eV per atom. As for the space group: Cmcm. The value obtained for the density of states at the Fermi level is 0.00 states/eV per cell. The calculation puts the volume at 577.7 Å³ per cell.

=====

Here is an optimized crystal structure of LaOs2S from Alexandria. Energies are from PBE.

Cell and atoms, written as POSCAR:
```
LaOs2S
1.0
-0.4177 -4.1401 2.5296
4.6169 -1.1195 -1.0700
4.4928 1.0717 7.1832
S Os La
2 4 2
direct
0.5000 0.5000 0.0000
0.2500 0.7500 0.5000
0.3753 0.1250 0.2500
0.3747 0.6250 0.2500
0.3750 0.6247 0.7500
0.8750 0.6253 0.7500
0.0000 0.0000 0.0000
0.7500 0.2500 0.5000
```

Properties
For the uncorrected formation energy, the calculation gives -0.0273 eV per atom. As for the space group: I4_1/amd. The value obtained for the density of states at the Fermi level is 4.25 states/eV per cell. The calculation puts the volume at 185.3 Å³ per cell.

=====

Here is an optimized crystal structure of ZnOs2Se from Alexandria. Energies are from PBE.

Cell and atoms, written as POSCAR:
```
ZnOs2Se
1.0
0.0000 3.0630 3.0630
3.0630 0.0000 3.0630
3.0630 3.0630 0.0000
Zn Os Se
1 2 1
direct
0.0000 0.0000 0.0000
0.2500 0.2500 0.2500
0.7500 0.7500 0.7500
0.5000 0.5000 0.5000
```

Properties
For the uncorrected formation energy, the calculation gives 0.6322 eV per atom. As for the space group: Fm-3m. The value obtained for the density of states at the Fermi level is 1.87 states/eV per cell. The calculation puts the volume at 57.5 Å³ per cell.

=====

Here is an optimized crystal structure of NdDyP2 from Alexandria. Energies are from PBE.

Cell and atoms, written as POSCAR:
```
NdDyP2
1.0
-3.6144 1.8986 -0.2485
-2.1977 -0.2298 -3.4420
-4.9732 -4.9178 1.0714
Nd Dy P
1 1 2
direct
0.5000 0.5000 0.5000
0.0000 0.0000 0.0000
0.7468 0.7468 0.7596
0.2532 0.2532 0.2404
```

Properties
The calculation puts the energy relative to the elements at -1.5696 eV/atom. As for the space group: R-3m. The value obtained for the density of states at the Fermi level is 0.40 states/eV per cell. The calculation puts the volume at 96.6 Å³ per cell.